w.
8
Lattice="8.305 0.000 0.000 0.000 2.995 0.000 -1.194 0.000 5.715" Properties=species:S:1:pos:R:3 comment="HgIr2Se | Alexandria via LeMat-Bulk | PBE | optimized geometry" magmom_total_mub_per_cell=0.001 volume_a3_per_cell=142.1 pbc="T T T"
Hg 0.000 0.000 0.000
Hg 4.153 1.497 0.000
Ir 1.226 0.000 3.980
Ir 1.733 1.497 1.735
Ir 5.378 1.497 3.980
Ir 5.885 0.000 1.735
Se -0.597 1.497 2.857
Se 3.555 0.000 2.857



x.
8
Lattice="2.939 0.000 0.000 0.000 4.710 0.000 0.000 0.000 10.145" Properties=species:S:1:pos:R:3 comment="HgIr2Se | Alexandria via LeMat-Bulk | PBE | optimized geometry" magmom_total_mub_per_cell=0.000 volume_a3_per_cell=140.4 pbc="T T T"
Hg 0.000 0.000 0.000
Hg 1.469 2.355 5.072
Ir 0.000 0.000 5.210
Ir 0.000 2.355 7.933
Ir 1.469 0.000 2.861
Ir 1.469 2.355 0.137
Se 0.000 2.355 2.206
Se 1.469 0.000 7.279



So which one is most stable? That would be w, about 21 meV per atom below the next structure.



w.
16
Lattice="7.134 0.000 0.000 0.000 7.134 0.000 0.000 0.000 5.788" Properties=species:S:1:pos:R:3 comment="HgIr2Se | Alexandria via LeMat-Bulk | PBE | optimized geometry" magmom_total_mub_per_cell=0.000 volume_a3_per_cell=294.6 pbc="T T T"
Hg 0.000 0.000 0.000
Hg 0.000 3.567 1.447
Hg 3.567 0.000 4.341
Hg 3.567 3.567 2.894
Ir 1.419 1.783 3.618
Ir 1.783 4.985 5.065
Ir 1.783 5.715 2.171
Ir 2.148 1.783 0.724
Ir 4.985 5.350 0.724
Ir 5.350 1.419 2.171
Ir 5.350 2.148 5.065
Ir 5.715 5.350 3.618
Se 0.000 0.000 2.894
Se 0.000 3.567 4.341
Se 3.567 0.000 1.447
Se 3.567 3.567 0.000



x.
4
Lattice="2.938 0.000 0.000 0.000 2.938 0.000 0.000 0.000 8.560" Properties=species:S:1:pos:R:3 comment="HgIr2Se | Alexandria via LeMat-Bulk | PBE | optimized geometry" magmom_total_mub_per_cell=0.001 volume_a3_per_cell=73.9 pbc="T T T"
Hg 0.000 0.000 0.000
Ir 0.000 0.000 3.894
Ir 1.469 1.469 2.112
Se 1.469 1.469 5.509



y.
8
Lattice="6.129 0.000 0.000 0.000 7.266 0.000 0.000 0.000 3.042" Properties=species:S:1:pos:R:3 comment="HgIr2Se | Alexandria via LeMat-Bulk | PBE | optimized geometry" magmom_total_mub_per_cell=0.000 volume_a3_per_cell=135.4 pbc="T T T"
Hg 0.000 0.000 0.000
Hg 3.064 3.633 0.000
Ir 1.532 1.816 1.521
Ir 1.532 5.449 1.521
Ir 4.597 1.816 1.521
Ir 4.597 5.449 1.521
Se 0.000 3.633 0.000
Se 3.064 0.000 0.000



So which one is most stable? That would be x, about 279 meV per atom below the next structure.



w.
8
Lattice="2.807 0.000 0.000 0.000 4.993 0.000 0.000 0.000 10.788" Properties=species:S:1:pos:R:3 comment="HgIr2Se | Alexandria via LeMat-Bulk | PBE | optimized geometry" magmom_total_mub_per_cell=0.000 volume_a3_per_cell=151.2 pbc="T T T"
Hg 0.000 0.000 0.000
Hg 1.404 2.497 0.000
Ir 0.000 0.000 4.899
Ir 0.000 2.497 2.643
Ir 1.404 0.000 2.643
Ir 1.404 2.497 4.899
Se 0.000 2.497 7.055
Se 1.404 0.000 7.055



x.
4
Lattice="3.022 0.000 0.000 0.000 3.022 0.000 0.000 0.000 7.341" Properties=species:S:1:pos:R:3 comment="HgIr2Se | Alexandria via LeMat-Bulk | PBE | optimized geometry" magmom_total_mub_per_cell=0.000 volume_a3_per_cell=67.1 pbc="T T T"
Hg 0.000 0.000 0.000
Ir 1.511 1.511 2.057
Ir 1.511 1.511 5.284
Se 0.000 0.000 3.671



So which one is most stable? That would be w, about 33 meV per atom below the next structure.



w.
5
Lattice="4.966 0.000 0.000 0.000 4.966 0.000 0.000 0.000 4.966" Properties=species:S:1:pos:R:3 comment="HgIr3Se | Alexandria via LeMat-Bulk | PBE | optimized geometry" magmom_total_mub_per_cell=3.492 volume_a3_per_cell=122.4 pbc="T T T"
Hg 0.000 0.000 0.000
Ir 0.000 0.000 2.483
Ir 0.000 2.483 0.000
Ir 2.483 0.000 0.000
Se 2.483 2.483 2.483



x.
5
Lattice="4.612 0.000 0.000 0.000 4.612 0.000 0.000 0.000 4.612" Properties=species:S:1:pos:R:3 comment="HgIr3Se | Alexandria via LeMat-Bulk | PBE | optimized geometry" magmom_total_mub_per_cell=0.000 volume_a3_per_cell=98.1 pbc="T T T"
Hg 0.000 0.000 0.000
Ir 0.000 2.306 2.306
Ir 2.306 0.000 2.306
Ir 2.306 2.306 0.000
Se 2.306 2.306 2.306



So which one is most stable? That would be x, about 1354 meV per atom below the next structure.



w.
5
Lattice="5.205 0.000 0.000 0.000 5.205 0.000 0.000 0.000 5.205" Properties=species:S:1:pos:R:3 comment="SiHg3Ir | Alexandria via LeMat-Bulk | PBE | optimized geometry" magmom_total_mub_per_cell=0.528 volume_a3_per_cell=141.0 pbc="T T T"
Si 0.000 0.000 0.000
Hg 0.000 2.603 2.603
Hg 2.603 0.000 2.603
Hg 2.603 2.603 0.000
Ir 2.603 2.603 2.603



x.
5
Lattice="4.966 0.000 0.000 0.000 4.966 0.000 0.000 0.000 4.966" Properties=species:S:1:pos:R:3 comment="SiHg3Ir | Alexandria via LeMat-Bulk | PBE | optimized geometry" magmom_total_mub_per_cell=1.277 volume_a3_per_cell=122.5 pbc="T T T"
Si 0.000 0.000 0.000
Hg 0.000 0.000 2.483
Hg 0.000 2.483 0.000
Hg 2.483 0.000 0.000
Ir 2.483 2.483 2.483



So which one is most stable? That would be w, about 293 meV per atom below the next structure.



w.
10
Lattice="3.558 0.000 0.000 0.000 3.558 0.000 0.000 0.000 16.178" Properties=species:S:1:pos:R:3 comment="SiHg2Ir2 | Alexandria via LeMat-Bulk | PBE | optimized geometry" magmom_total_mub_per_cell=0.000 volume_a3_per_cell=204.8 pbc="T T T"
Si 0.000 0.000 0.000
Si 1.779 1.779 8.089
Hg 0.000 0.000 6.437
Hg 0.000 0.000 9.741
Hg 1.779 1.779 1.652
Hg 1.779 1.779 14.525
Ir 0.000 1.779 4.044
Ir 0.000 1.779 12.133
Ir 1.779 0.000 4.044
Ir 1.779 0.000 12.133



x.
10
Lattice="6.196 0.000 0.000 0.000 6.196 0.000 0.000 0.000 4.682" Properties=species:S:1:pos:R:3 comment="SiHg2Ir2 | Alexandria via LeMat-Bulk | PBE | optimized geometry" magmom_total_mub_per_cell=0.000 volume_a3_per_cell=179.8 pbc="T T T"
Si 0.000 0.000 0.000
Si 3.098 3.098 0.000
Hg 1.034 2.064 2.341
Hg 2.064 5.163 2.341
Hg 4.132 1.034 2.341
Hg 5.163 4.132 2.341
Ir 0.945 4.043 0.000
Ir 2.153 0.945 0.000
Ir 4.043 5.251 0.000
Ir 5.251 2.153 0.000



So which one is most stable? That would be x, about 731 meV per atom below the next structure.



w.
4
Lattice="3.580 0.000 0.000 0.000 3.580 0.000 0.000 0.000 7.646" Properties=species:S:1:pos:R:3 comment="Sm2HgIr | Alexandria via LeMat-Bulk | PBE | optimized geometry" magmom_total_mub_per_cell=0.000 volume_a3_per_cell=98.0 pbc="T T T"
Sm 0.000 0.000 1.673
Sm 0.000 0.000 5.973
Hg 1.790 1.790 3.823
Ir 1.790 1.790 0.000



x.
12
Lattice="4.108 0.000 0.000 -2.054 3.557 0.000 0.000 0.000 23.095" Properties=species:S:1:pos:R:3 comment="Sm2HgIr | Alexandria via LeMat-Bulk | PBE | optimized geometry" magmom_total_mub_per_cell=0.000 volume_a3_per_cell=337.5 pbc="T T T"
Sm 0.000 0.000 5.394
Sm 0.000 0.000 17.701
Sm 0.000 2.372 10.003
Sm 0.000 2.372 20.791
Sm 2.054 1.186 2.304
Sm 2.054 1.186 13.092
Hg 0.000 0.000 0.000
Hg 0.000 2.372 15.397
Hg 2.054 1.186 7.698
Ir 0.000 0.000 11.547
Ir 0.000 2.372 3.849
Ir 2.054 1.186 19.246



y.
16
Lattice="7.274 0.000 0.000 0.000 7.274 0.000 0.000 0.000 7.274" Properties=species:S:1:pos:R:3 comment="Sm2HgIr | Alexandria via LeMat-Bulk | PBE | optimized geometry" magmom_total_mub_per_cell=0.000 volume_a3_per_cell=384.8 pbc="T T T"
Sm 1.818 1.818 1.818
Sm 1.818 1.818 5.455
Sm 1.818 5.455 1.818
Sm 1.818 5.455 5.455
Sm 5.455 1.818 1.818
Sm 5.455 1.818 5.455
Sm 5.455 5.455 1.818
Sm 5.455 5.455 5.455
Hg 0.000 0.000 0.000
Hg 0.000 3.637 3.637
Hg 3.637 0.000 3.637
Hg 3.637 3.637 0.000
Ir 0.000 0.000 3.637
Ir 0.000 3.637 0.000
Ir 3.637 0.000 0.000
Ir 3.637 3.637 3.637



So which one is most stable? That would be w, about 35 meV per atom below the next structure.



w.
11
Lattice="9.103 -2.627 0.000 9.103 2.627 0.000 -1.574 0.000 6.765" Properties=species:S:1:pos:R:3 comment="Sm8Hg2Ir | Alexandria via LeMat-Bulk | PBE | optimized geometry" magmom_total_mub_per_cell=0.000 volume_a3_per_cell=323.5 pbc="T T T"
Sm -0.020 0.000 1.908
Sm 2.395 0.000 5.501
Sm 5.478 0.000 3.640
Sm 7.408 0.000 0.457
Sm 9.224 0.000 6.308
Sm 11.155 0.000 3.126
Sm 14.237 0.000 1.265
Sm 16.652 0.000 4.857
Hg 3.083 0.000 1.610
Hg 13.550 0.000 5.155
Ir 8.316 0.000 3.383



x.
11
Lattice="-2.515 4.295 7.321 2.515 -4.295 7.321 2.515 4.295 -7.321" Properties=species:S:1:pos:R:3 comment="Sm8Hg2Ir | Alexandria via LeMat-Bulk | PBE | optimized geometry" magmom_total_mub_per_cell=0.000 volume_a3_per_cell=316.3 pbc="T T T"
Sm 2.515 2.312 -2.256
Sm 0.000 0.000 1.738
Sm 0.000 2.827 0.000
Sm 2.515 2.312 2.256
Sm 0.000 1.982 5.065
Sm 0.000 5.762 0.000
Sm 0.000 0.000 12.904
Sm 0.000 1.982 9.577
Hg 2.515 0.000 4.398
Hg 0.000 4.295 2.923
Ir 2.515 0.000 0.000



So which one is most stable? That would be w, about 118 meV per atom below the next structure.